The following is a DFT calculation (PBE) of a geometry-optimized ZrZnAsSe2 structure.

Properties
N(E_F)   5.4 states/eV per cell
Symmetry   P4/mmm
Uncorrected formation energy   -1.61 kcal/mol of atoms
E_tot   -21.79 eV for the cell shown
E above lowest polymorph   0 meV/atom

a = 5.180 Å, b = 5.180 Å, c = 5.339 Å
α = 90.00°, β = 90.00°, γ = 90.00°
Positions (direct):
Se 0.500 0.000 0.000
Se 0.000 0.500 0.000
As 0.000 0.000 0.500
Zr 0.000 0.000 0.000
Zn 0.500 0.500 0.500